# 1
First-principles (GGA-PBE) data for a geometry-optimized ZrNbVAs2 structure, as listed in the Alexandria database.

Structure (POSCAR):
```
ZrNbVAs2
1.0
5.0491 0.0000 0.0000
0.0000 5.0491 0.0000
0.0000 0.0000 4.9944
Zr Nb V As
1 1 1 2
direct
0.0000 0.0000 0.0000
0.0000 0.0000 0.5000
0.5000 0.5000 0.5000
0.0000 0.5000 0.0000
0.5000 0.0000 0.0000
```

Calculated values
Formation enthalpy at 0 K ... 1.35 eV per atom
E ... -6.05 eV per atom

# 2
First-principles (GGA-PBE) data for a geometry-optimized LiGa2Ni structure, as listed in the Alexandria database.

Structure (POSCAR):
```
LiGa2Ni
1.0
4.0739 0.0000 0.0000
0.0000 4.0739 0.0000
0.0000 0.0000 3.1541
Li Ga Ni
1 2 1
direct
0.0000 0.0000 0.0000
0.0000 0.5000 0.5000
0.5000 0.0000 0.5000
0.5000 0.5000 0.0000
```

Calculated values
Formation enthalpy at 0 K ... -0.29 eV per atom
Energy relative to the lowest polymorph listed for this composition ... 0.091 eV per atom
E ... -3.72 eV per atom

# 3
First-principles (GGA-PBE) data for a geometry-optimized EuRh4Pb structure, as listed in the Alexandria database.

Structure (POSCAR):
```
EuRh4Pb
1.0
0.0000 3.7976 3.7976
3.7976 0.0000 3.7976
3.7976 3.7976 0.0000
Eu Rh Pb
1 4 1
direct
0.0000 0.0000 0.0000
0.1268 0.6244 0.6244
0.6244 0.1268 0.6244
0.6244 0.6244 0.1268
0.6244 0.6244 0.6244
0.2500 0.2500 0.2500
```

Calculated values
Formation enthalpy at 0 K ... -0.23 eV per atom
E ... -7.46 eV per atom

# 4
First-principles (GGA-PBE) data for a geometry-optimized ZnNiRh structure, as listed in the Alexandria database.

Structure (POSCAR):
```
ZnNiRh
1.0
-1.3717 1.7967 3.9801
1.3717 -1.7967 3.9801
1.3717 1.7967 -3.9801
Zn Ni Rh
1 1 1
direct
0.0000 0.0000 0.0000
0.6641 0.6641 0.0000
0.3288 0.3288 0.0000
```

Calculated values
Formation enthalpy at 0 K ... -0.13 eV per atom
Energy relative to the lowest polymorph listed for this composition ... 0.044 eV per atom
E ... -4.93 eV per atom

# 5
First-principles (GGA-PBE) data for a geometry-optimized Li5Zn4Ag structure, as listed in the Alexandria database.

Structure (POSCAR):
```
Li5Zn4Ag
1.0
2.9344 0.0000 0.0000
0.0000 2.9344 0.0000
0.0000 0.0000 17.5269
Li Zn Ag
5 4 1
direct
0.0000 0.0000 0.0000
0.0000 0.0000 0.1946
0.0000 0.0000 0.3957
0.0000 0.0000 0.6043
0.0000 0.0000 0.8054
0.5000 0.5000 0.0979
0.5000 0.5000 0.2923
0.5000 0.5000 0.7077
0.5000 0.5000 0.9021
0.5000 0.5000 0.5000
```

Calculated values
Formation enthalpy at 0 K ... -0.16 eV per atom
Energy relative to the lowest polymorph listed for this composition ... 0.000 eV per atom
E ... -1.91 eV per atom

# 6
First-principles (GGA-PBE) data for a geometry-optimized CrFeAg3 structure, as listed in the Alexandria database.

Structure (POSCAR):
```
CrFeAg3
1.0
4.8985 0.0000 0.0000
0.0000 4.8985 0.0000
0.0000 0.0000 4.8985
Cr Fe Ag
1 1 3
direct
0.0000 0.0000 0.0000
0.5000 0.5000 0.5000
0.0000 0.0000 0.5000
0.0000 0.5000 0.0000
0.5000 0.0000 0.0000
```

Calculated values
Formation enthalpy at 0 K ... 1.48 eV per atom
Energy relative to the lowest polymorph listed for this composition ... 0.000 eV per atom
E ... -3.85 eV per atom

no.,D(E_F) (states/eV per cell)
1,5.53
2,1.42
3,13.49
4,4.00
5,4.18
6,7.62